CeAlRh2: relaxed, PBE-GGA.

Geometry as POSCAR:
```
CeAlRh2
1.0
-0.039 1.552 2.627
1.487 -2.285 1.372
6.273 3.054 -1.712
Ce Rh Al
1 2 1
direct
0.500 0.500 0.500
0.000 0.000 0.796
0.000 0.000 0.204
0.500 0.500 0.000
```

Calculated values
The formation energy comes out at -18.384 kcal/mol of atoms. As for the symmetry: No. 123. The calculation puts the electronic total energy at -27.57 eV for the cell shown.